(1)
Density functional theory data (PBE) for a geometry-optimized LiYCuAs structure.

CIF file:
```
data_LiYCuAs
_space_group_name_H-M_alt 'F -4 3 m'
_space_group_IT_number 216
_space_group_name_Hall 'F -4 2 3'
_cell_length_a 6.587
_cell_length_b 6.587
_cell_length_c 6.587
_cell_angle_alpha 90.00
_cell_angle_beta 90.00
_cell_angle_gamma 90.00
loop_
_atom_site_label
_atom_site_type_symbol
_atom_site_fract_x
_atom_site_fract_y
_atom_site_fract_z
Li1 Li 0.000 0.000 0.000
Y1 Y 0.250 0.250 0.250
Cu1 Cu 0.250 0.250 0.750
As1 As 0.000 0.000 0.500
```

***

(2)
Density functional theory data (PBE) for a geometry-optimized Li2YCuAs2 structure.

CIF file:
```
data_Li2YCuAs2
_space_group_name_H-M_alt 'P -3 m 1'
_space_group_IT_number 164
_space_group_name_Hall '-P 3 2"'
_cell_length_a 4.2020
_cell_length_b 4.2020
_cell_length_c 6.5885
_cell_angle_alpha 90.00
_cell_angle_beta 90.00
_cell_angle_gamma 120.00
loop_
_atom_site_label
_atom_site_type_symbol
_atom_site_fract_x
_atom_site_fract_y
_atom_site_fract_z
Li1 Li 0.3333 0.6667 0.3542
Y1 Y 0.0000 0.0000 0.0000
Cu1 Cu 0.0000 0.0000 0.5000
As1 As 0.3333 0.6667 0.7456
```

***

(3)
Density functional theory data (PBE) for a geometry-optimized LiZnCu4As2 structure.

CIF file:
```
data_LiZnCu4As2
_space_group_name_H-M_alt 'P 4/m m m'
_space_group_IT_number 123
_space_group_name_Hall '-P 4 2'
_cell_length_a 4.119
_cell_length_b 4.119
_cell_length_c 6.486
_cell_angle_alpha 90.00
_cell_angle_beta 90.00
_cell_angle_gamma 90.00
loop_
_atom_site_label
_atom_site_type_symbol
_atom_site_fract_x
_atom_site_fract_y
_atom_site_fract_z
Li1 Li 0.000 0.000 0.000
Zn1 Zn 0.500 0.500 0.500
Cu1 Cu 0.000 0.500 0.254
As1 As 0.000 0.000 0.500
As2 As 0.500 0.500 0.000
```

***

(4)
Density functional theory data (PBE) for a geometry-optimized LiZnCu2As2 structure.

CIF file:
```
data_LiZnCu2As2
_space_group_name_H-M_alt 'P 4 m m'
_space_group_IT_number 99
_cell_length_a 3.921
_cell_length_b 3.921
_cell_length_c 6.018
_cell_angle_alpha 90.00
_cell_angle_beta 90.00
_cell_angle_gamma 90.00
loop_
_space_group_symop_operation_xyz
'x,y,z'
'-y,x,z'
'-x,-y,z'
'y,-x,z'
'-x,y,z'
'y,x,z'
'x,-y,z'
'-y,-x,z'
loop_
_atom_site_label
_atom_site_type_symbol
_atom_site_fract_x
_atom_site_fract_y
_atom_site_fract_z
Li1 Li 0.000 0.000 0.000
Zn1 Zn 0.500 0.500 0.366
Cu1 Cu 0.000 0.500 0.687
As1 As 0.000 0.000 0.423
As2 As 0.500 0.500 0.947
```

***

These records have E_tot values of -0.1634 -0.1706 -0.1264 -0.1301 Ha/atom, in the order they appear.